The following is a DFT calculation (GGA-PBE) of a relaxed structure of NaTlHg2Cl6.

Cell: 13.6695 13.2500 7.3071 Å, 90.00 96.29 90.00°
Last column: nearest neighbours and their distance in Å.
Space group C2/c (No. 15)
Symmetry-distinct sites (fractional):
Na 0.0000 0.2061 0.2500 x4  6 Cl 2.77-3.04
Tl 0.0000 0.4081 0.7500 x4  6 Cl 3.10-3.29
Hg 0.1980 0.0985 0.7766 x8  4 Cl 2.47-2.65
Cl 0.1119 0.2321 0.5863 x8  1 Hg 2.47
Cl 0.1195 0.3873 0.1499 x8  1 Hg 2.50
Cl 0.1398 0.0705 0.1051 x8  2 Hg 2.64-2.65, 1 Na 2.91

Raw formation energy ... -0.907 eV/atom
E ... -2.443 eV/atom
DOS(E_F) ... 0.00 states/eV/f.u.
Crystal system ... monoclinic



The following is a DFT calculation (GGA-PBE) of a relaxed structure of NaTlHgCl6.

Cell: 6.8325 6.8325 12.5792 Å, 90.00 90.00 120.00°
Last column: nearest neighbours and their distance in Å.
Space group P-31c (No. 163)
Symmetry-distinct sites (fractional):
Na 0.0000 0.0000 0.0000 x2  6 Cl 2.92
Tl 0.3333 0.6667 0.2500 x2  6 Cl 2.64
Hg 0.3333 0.6667 0.7500 x2  6 Cl 2.71
Cl 0.0083 0.3586 0.1300 x12  1 Tl 2.64, 1 Hg 2.71, 1 Na 2.92

Raw formation energy ... -0.881 eV/atom
E ... -2.555 eV/atom
DOS(E_F) ... 0.00 states/eV/f.u.
Crystal system ... trigonal



The following is a DFT calculation (GGA-PBE) of a relaxed structure of NaTlHgCl4.

Cell: 7.2836 7.3755 8.5366 Å, 90.00 106.04 90.00°
Last column: nearest neighbours and their distance in Å.
Space group P2_1/m (No. 11)
Symmetry-distinct sites (fractional):
Na 0.1996 0.2500 0.0527 x2  6 Cl 2.82-3.00
Tl 0.2284 0.2500 0.5492 x2  4 Cl 3.05-3.40
Hg 0.2601 0.7500 0.8331 x2  4 Cl 2.51-2.57
Cl 0.0054 0.0002 0.7802 x4  1 Hg 2.57
Cl 0.4778 0.7500 0.6488 x2  1 Hg 2.52
Cl 0.4934 0.2500 0.8952 x2  1 Hg 2.51

Raw formation energy ... -1.033 eV/atom
E ... -2.658 eV/atom
DOS(E_F) ... 0.00 states/eV/f.u.
Crystal system ... monoclinic



The following is a DFT calculation (GGA-PBE) of a relaxed structure of NaTl2HgCl5.

Cell: 4.2547 17.5735 14.4890 Å, 90.00 90.00 90.00°
Last column: nearest neighbours and their distance in Å.
Space group Cmc2_1 (No. 36)
Symmetry-distinct sites (fractional):
Na 0.0000 0.0397 0.0000 x4  4 Cl 2.65-2.84
Tl 0.0000 0.3605 0.8382 x4  5 Cl 3.16-3.32
Tl 0.0000 0.4094 0.2165 x4  6 Cl 3.16-3.33
Hg 0.0000 0.2796 0.5700 x4  6 Cl 2.61-2.86
Cl 0.0000 0.0071 0.3263 x4  1 Na 2.65
Cl 0.0000 0.1324 0.5473 x4  1 Hg 2.61
Cl 0.0000 0.1958 0.9501 x4  2 Hg 2.78, 1 Na 2.84
Cl 0.0000 0.2294 0.2016 x4  2 Hg 2.86, 1 Tl 3.17
Cl 0.0000 0.4285 0.6060 x4  1 Hg 2.67, 2 Na 2.68

Raw formation energy ... -1.027 eV/atom
E ... -2.759 eV/atom
DOS(E_F) ... 0.00 states/eV/f.u.
Crystal system ... orthorhombic



The following is a DFT calculation (GGA-PBE) of a relaxed structure of Na3TlHg4Cl12.

Cell: 14.8563 14.8563 10.4765 Å, 90.00 90.00 120.00°
Last column: nearest neighbours and their distance in Å.
Space group R32 (No. 155, hexagonal axes)
Symmetry-distinct sites (fractional):
Na 0.0000 0.5560 0.0000 x9  6 Cl 2.81-2.84
Tl 0.0000 0.0000 0.0000 x3  6 Cl 3.38
Hg 0.0000 0.0000 0.5000 x3  3 Cl 2.44
Hg 0.0000 0.4415 0.5000 x9  3 Cl 2.45
Cl 0.0000 0.6065 0.5000 x9  1 Hg 2.45
Cl 0.0000 0.8355 0.5000 x9  1 Hg 2.44
Cl 0.0516 0.2148 0.1681 x18  1 Hg 2.45

Raw formation energy ... -0.962 eV/atom
E ... -2.446 eV/atom
DOS(E_F) ... 0.00 states/eV/f.u.
Crystal system ... trigonal



The following is a DFT calculation (GGA-PBE) of a relaxed structure of NaTmHgCl6.

Cell: 6.8113 6.8113 12.6560 Å, 90.00 90.00 120.00°
Last column: nearest neighbours and their distance in Å.
Space group P-31c (No. 163)
Symmetry-distinct sites (fractional):
Na 0.0000 0.0000 0.0000 x2  6 Cl 2.92
Tm 0.3333 0.6667 0.2500 x2  6 Cl 2.62
Hg 0.3333 0.6667 0.7500 x2  6 Cl 2.72
Cl 0.0114 0.3591 0.1310 x12  1 Tm 2.62, 1 Hg 2.72, 1 Na 2.92

Raw formation energy ... -1.597 eV/atom
E ... -3.505 eV/atom
DOS(E_F) ... 0.00 states/eV/f.u.
Crystal system ... trigonal



The following is a DFT calculation (GGA-PBE) of a relaxed structure of NaUHg2Cl6.

Cell: 11.0595 11.0595 11.0595 Å, 90.00 90.00 90.00°
Last column: nearest neighbours and their distance in Å.
Space group Fm-3m (No. 225)
Symmetry-distinct sites (fractional):
Na 0.0000 0.0000 0.0000 x4  6 Cl 2.99
U 0.0000 0.0000 0.5000 x4  6 Cl 2.54
Hg 0.2500 0.2500 0.2500 x8  12 Cl 3.92
Cl 0.0000 0.0000 0.2707 x24  1 U 2.54

Raw formation energy ... -1.303 eV/atom
E ... -3.732 eV/atom
Crystal system ... cubic



The following is a DFT calculation (GGA-PBE) of a relaxed structure of NaZrHgCl6.

Cell: 6.9486 12.0472 6.3071 Å, 90.00 90.06 90.00°
Last column: nearest neighbours and their distance in Å.
Space group C2 (No. 5)
Symmetry-distinct sites (fractional):
Na 0.0000 0.0000 0.0000 x2  6 Cl 2.80
Zr 0.0000 0.6667 0.0000 x2  6 Cl 2.50
Hg 0.0000 0.3332 0.5000 x2  6 Cl 3.05-3.06
Cl 0.1383 0.8169 0.2272 x4  1 Zr 2.50, 1 Na 2.80
Cl 0.1563 0.5227 0.2275 x4  1 Zr 2.50
Cl 0.2057 0.1607 0.2272 x4  1 Zr 2.50

Raw formation energy ... -1.423 eV/atom
E ... -3.784 eV/atom
DOS(E_F) ... 5.06 states/eV/f.u.
Crystal system ... monoclinic



The following is a DFT calculation (GGA-PBE) of a relaxed structure of NaZrHg2Cl.

Cell: 5.8413 5.8413 4.5816 Å, 90.00 90.00 90.00°
Last column: nearest neighbours and their distance in Å.
Space group P4/mmm (No. 123)
Symmetry-distinct sites (fractional):
Na 0.0000 0.0000 0.0000 x1  2 Cl 2.29
Zr 0.5000 0.5000 0.0000 x1  8 Hg 3.71, 4 Na 4.13
Hg 0.0000 0.5000 0.5000 x2  2 Cl 2.92
Cl 0.0000 0.0000 0.5000 x1  2 Na 2.29

Raw formation energy ... 0.357 eV/atom
E ... -2.106 eV/atom
DOS(E_F) ... 6.39 states/eV/f.u.
Crystal system ... tetragonal



The following is a DFT calculation (GGA-PBE) of a relaxed structure of NbHg2Cl.

Cell: 7.2591 7.2591 7.2591 Å, 90.00 90.00 90.00°
Last column: nearest neighbours and their distance in Å.
Space group Fm-3m (No. 225)
Symmetry-distinct sites (fractional):
Nb 0.0000 0.0000 0.0000 x4  8 Hg 3.14
Hg 0.2500 0.2500 0.2500 x8  4 Cl 3.14, 4 Nb 3.14
Cl 0.0000 0.0000 0.5000 x4  8 Hg 3.14

Raw formation energy ... 0.648 eV/atom
E ... -2.482 eV/atom
DOS(E_F) ... 5.77 states/eV/f.u.
Excess energy over the best structure of this formula in the dataset ... 1.606 eV/f.u.
Crystal system ... cubic